(1)
# PBE PrSm2ErBi5, optimized geometry
data_PrSm2ErBi5
_chemical_formula_sum 'Pr1 Sm2 Er1 Bi5'
_symmetry_space_group_name_H-M 'P 4/m m m'
_symmetry_Int_Tables_number 123
_symmetry_space_group_name_Hall '-P 4 2'
_cell_length_a 5.5993
_cell_length_b 5.5993
_cell_length_c 11.9163
_cell_angle_alpha 90.00
_cell_angle_beta 90.00
_cell_angle_gamma 90.00
loop_
_atom_site_label
_atom_site_type_symbol
_atom_site_fract_x
_atom_site_fract_y
_atom_site_fract_z
Pr1 Pr 0.0000 0.0000 0.0000
Sm1 Sm 0.5000 0.5000 0.2262
Er1 Er 0.0000 0.0000 0.5000
Bi1 Bi 0.0000 0.0000 0.2585
Bi2 Bi 0.0000 0.5000 0.0000
Bi3 Bi 0.5000 0.5000 0.5000
# Calculated density ... 7.35 g/cm3

(2)
# PBE Pr2SmErBi5, optimized geometry
data_Pr2SmErBi5
_chemical_formula_sum 'Pr2 Sm1 Er1 Bi5'
_symmetry_space_group_name_H-M 'P 4/m m m'
_symmetry_Int_Tables_number 123
_symmetry_space_group_name_Hall '-P 4 2'
_cell_length_a 5.5310
_cell_length_b 5.5310
_cell_length_c 11.9238
_cell_angle_alpha 90.00
_cell_angle_beta 90.00
_cell_angle_gamma 90.00
loop_
_atom_site_label
_atom_site_type_symbol
_atom_site_fract_x
_atom_site_fract_y
_atom_site_fract_z
Pr1 Pr 0.0000 0.0000 0.2227
Sm1 Sm 0.5000 0.5000 0.0000
Er1 Er 0.5000 0.5000 0.5000
Bi1 Bi 0.0000 0.0000 0.5000
Bi2 Bi 0.0000 0.5000 0.0000
Bi3 Bi 0.5000 0.5000 0.2567
# Calculated density ... 7.49 g/cm3

(3)
# PBE Pr2SmEr3Bi6, optimized geometry
data_Pr2SmEr3Bi6
_chemical_formula_sum 'Pr4 Sm2 Er6 Bi12'
_symmetry_space_group_name_H-M 'C 1 2/m 1'
_symmetry_Int_Tables_number 12
_cell_length_a 19.7358
_cell_length_b 4.5336
_cell_length_c 9.0570
_cell_angle_alpha 90.00
_cell_angle_beta 103.10
_cell_angle_gamma 90.00
loop_
_symmetry_equiv_pos_as_xyz
'x,y,z'
'-x,-y,-z'
'-x,y,-z'
'x,-y,z'
'x+1/2,y+1/2,z'
'-x+1/2,-y+1/2,-z'
'-x+1/2,y+1/2,-z'
'x+1/2,-y+1/2,z'
loop_
_atom_site_label
_atom_site_type_symbol
_atom_site_fract_x
_atom_site_fract_y
_atom_site_fract_z
Pr1 Pr 0.1662 0.0000 0.3329
Sm1 Sm 0.0000 0.5000 0.0000
Er1 Er 0.0000 0.5000 0.5000
Er2 Er 0.1673 0.0000 0.8338
Bi1 Bi 0.0033 0.0000 0.7466
Bi2 Bi 0.1639 0.5000 0.5907
Bi3 Bi 0.1681 0.5000 0.0753
# Calculated density ... 9.21 g/cm3

(4)
# PBE PrSmEr2Bi4, optimized geometry
data_PrSmEr2Bi4
_chemical_formula_sum 'Pr1 Sm1 Er2 Bi4'
_symmetry_space_group_name_H-M 'P 1 2/m 1'
_symmetry_Int_Tables_number 10
_cell_length_a 7.8284
_cell_length_b 4.5297
_cell_length_c 7.8399
_cell_angle_alpha 90.00
_cell_angle_beta 109.50
_cell_angle_gamma 90.00
loop_
_symmetry_equiv_pos_as_xyz
'x,y,z'
'-x,-y,-z'
'-x,y,-z'
'x,-y,z'
loop_
_atom_site_label
_atom_site_type_symbol
_atom_site_fract_x
_atom_site_fract_y
_atom_site_fract_z
Pr1 Pr 0.0000 0.0000 0.0000
Sm1 Sm 0.0000 0.5000 0.5000
Er1 Er 0.5000 0.0000 0.5000
Er2 Er 0.5000 0.5000 0.0000
Bi1 Bi 0.2595 0.0000 0.7508
Bi2 Bi 0.2612 0.5000 0.2561
# Calculated density ... 9.26 g/cm3

(5)
# PBE TbPr2ErBi5, optimized geometry
data_TbPr2ErBi5
_chemical_formula_sum 'Tb1 Pr2 Er1 Bi5'
_symmetry_space_group_name_H-M 'P 4/m m m'
_symmetry_Int_Tables_number 123
_symmetry_space_group_name_Hall '-P 4 2'
_cell_length_a 5.4648
_cell_length_b 5.4648
_cell_length_c 11.8990
_cell_angle_alpha 90.00
_cell_angle_beta 90.00
_cell_angle_gamma 90.00
loop_
_atom_site_label
_atom_site_type_symbol
_atom_site_fract_x
_atom_site_fract_y
_atom_site_fract_z
Tb1 Tb 0.0000 0.0000 0.0000
Pr1 Pr 0.5000 0.5000 0.2228
Er1 Er 0.0000 0.0000 0.5000
Bi1 Bi 0.0000 0.0000 0.2553
Bi2 Bi 0.0000 0.5000 0.0000
Bi3 Bi 0.5000 0.5000 0.5000
# Calculated density ... 7.72 g/cm3

(6)
# PBE TbPr2ErBi4, optimized geometry
data_TbPr2ErBi4
_chemical_formula_sum 'Tb1 Pr2 Er1 Bi4'
_symmetry_space_group_name_H-M 'P 1 2/m 1'
_symmetry_Int_Tables_number 10
_cell_length_a 7.8838
_cell_length_b 4.5619
_cell_length_c 7.8967
_cell_angle_alpha 90.00
_cell_angle_beta 109.50
_cell_angle_gamma 90.00
loop_
_symmetry_equiv_pos_as_xyz
'x,y,z'
'-x,-y,-z'
'-x,y,-z'
'x,-y,z'
loop_
_atom_site_label
_atom_site_type_symbol
_atom_site_fract_x
_atom_site_fract_y
_atom_site_fract_z
Tb1 Tb 0.0000 0.0000 0.0000
Pr1 Pr 0.5000 0.0000 0.5000
Pr2 Pr 0.5000 0.5000 0.0000
Er1 Er 0.0000 0.5000 0.5000
Bi1 Bi 0.2382 0.0000 0.7446
Bi2 Bi 0.2393 0.5000 0.2479
# Calculated density ... 8.96 g/cm3

(7)
# PBE TbPr2Er3Bi6, optimized geometry
data_TbPr2Er3Bi6
_chemical_formula_sum 'Tb2 Pr4 Er6 Bi12'
_symmetry_space_group_name_H-M 'C 1 2/m 1'
_symmetry_Int_Tables_number 12
_cell_length_a 19.6900
_cell_length_b 4.5234
_cell_length_c 9.0368
_cell_angle_alpha 90.00
_cell_angle_beta 103.13
_cell_angle_gamma 90.00
loop_
_symmetry_equiv_pos_as_xyz
'x,y,z'
'-x,-y,-z'
'-x,y,-z'
'x,-y,z'
'x+1/2,y+1/2,z'
'-x+1/2,-y+1/2,-z'
'-x+1/2,y+1/2,-z'
'x+1/2,-y+1/2,z'
loop_
_atom_site_label
_atom_site_type_symbol
_atom_site_fract_x
_atom_site_fract_y
_atom_site_fract_z
Tb1 Tb 0.0000 0.0000 0.0000
Pr1 Pr 0.1658 0.5000 0.3323
Er1 Er 0.0000 0.0000 0.5000
Er2 Er 0.1680 0.5000 0.8338
Bi1 Bi 0.0037 0.5000 0.7499
Bi2 Bi 0.1640 0.0000 0.5904
Bi3 Bi 0.1667 0.0000 0.0742
# Calculated density ... 9.31 g/cm3

(8)
# PBE Tb2PrEr3Bi6, optimized geometry
data_Tb2PrEr3Bi6
_chemical_formula_sum 'Tb4 Pr2 Er6 Bi12'
_symmetry_space_group_name_H-M 'C 1 2/m 1'
_symmetry_Int_Tables_number 12
_cell_length_a 19.5825
_cell_length_b 4.4971
_cell_length_c 8.9902
_cell_angle_alpha 90.00
_cell_angle_beta 103.18
_cell_angle_gamma 90.00
loop_
_symmetry_equiv_pos_as_xyz
'x,y,z'
'-x,-y,-z'
'-x,y,-z'
'x,-y,z'
'x+1/2,y+1/2,z'
'-x+1/2,-y+1/2,-z'
'-x+1/2,y+1/2,-z'
'x+1/2,-y+1/2,z'
loop_
_atom_site_label
_atom_site_type_symbol
_atom_site_fract_x
_atom_site_fract_y
_atom_site_fract_z
Tb1 Tb 0.1675 0.0000 0.3334
Pr1 Pr 0.0000 0.5000 0.0000
Er1 Er 0.0000 0.5000 0.5000
Er2 Er 0.1653 0.0000 0.8319
Bi1 Bi 0.0001 0.0000 0.2589
Bi2 Bi 0.1658 0.5000 0.5845
Bi3 Bi 0.1702 0.5000 0.0825
# Calculated density ... 9.54 g/cm3

(9)
# PBE Tb3PrEr2Bi6, optimized geometry
data_Tb3PrEr2Bi6
_chemical_formula_sum 'Tb6 Pr2 Er4 Bi12'
_symmetry_space_group_name_H-M 'C 1 2/m 1'
_symmetry_Int_Tables_number 12
_cell_length_a 19.6230
_cell_length_b 4.5040
_cell_length_c 9.0071
_cell_angle_alpha 90.00
_cell_angle_beta 103.25
_cell_angle_gamma 90.00
loop_
_symmetry_equiv_pos_as_xyz
'x,y,z'
'-x,-y,-z'
'-x,y,-z'
'x,-y,z'
'x+1/2,y+1/2,z'
'-x+1/2,-y+1/2,-z'
'-x+1/2,y+1/2,-z'
'x+1/2,-y+1/2,z'
loop_
_atom_site_label
_atom_site_type_symbol
_atom_site_fract_x
_atom_site_fract_y
_atom_site_fract_z
Tb1 Tb 0.0000 0.0000 0.0000
Tb2 Tb 0.1649 0.5000 0.3318
Pr1 Pr 0.0000 0.0000 0.5000
Er1 Er 0.1677 0.5000 0.8336
Bi1 Bi 0.0018 0.5000 0.7576
Bi2 Bi 0.1672 0.0000 0.0809
Bi3 Bi 0.1697 0.0000 0.5868
# Calculated density ... 9.46 g/cm3

(10)
# PBE PrEr2ThBi5, optimized geometry
data_PrEr2ThBi5
_chemical_formula_sum 'Pr1 Er2 Th1 Bi5'
_symmetry_space_group_name_H-M 'P 4/m m m'
_symmetry_Int_Tables_number 123
_symmetry_space_group_name_Hall '-P 4 2'
_cell_length_a 5.7135
_cell_length_b 5.7135
_cell_length_c 12.1346
_cell_angle_alpha 90.00
_cell_angle_beta 90.00
_cell_angle_gamma 90.00
loop_
_atom_site_label
_atom_site_type_symbol
_atom_site_fract_x
_atom_site_fract_y
_atom_site_fract_z
Pr1 Pr 0.0000 0.0000 0.0000
Er1 Er 0.5000 0.5000 0.2619
Th1 Th 0.0000 0.0000 0.5000
Bi1 Bi 0.0000 0.0000 0.2457
Bi2 Bi 0.0000 0.5000 0.5000
Bi3 Bi 0.5000 0.5000 0.0000
# Calculated density ... 7.35 g/cm3

(11)
# PBE PrErTh2Bi4, optimized geometry
data_PrErTh2Bi4
_chemical_formula_sum 'Pr1 Er1 Th2 Bi4'
_symmetry_space_group_name_H-M 'P 1 2/m 1'
_symmetry_Int_Tables_number 10
_cell_length_a 7.8974
_cell_length_b 4.5818
_cell_length_c 7.9351
_cell_angle_alpha 90.00
_cell_angle_beta 109.64
_cell_angle_gamma 90.00
loop_
_symmetry_equiv_pos_as_xyz
'x,y,z'
'-x,-y,-z'
'-x,y,-z'
'x,-y,z'
loop_
_atom_site_label
_atom_site_type_symbol
_atom_site_fract_x
_atom_site_fract_y
_atom_site_fract_z
Pr1 Pr 0.0000 0.0000 0.0000
Er1 Er 0.0000 0.5000 0.5000
Th1 Th 0.5000 0.0000 0.5000
Th2 Th 0.5000 0.5000 0.0000
Bi1 Bi 0.2431 0.0000 0.7421
Bi2 Bi 0.2476 0.5000 0.2547
# Calculated density ... 9.88 g/cm3

(12)
# PBE PrEr3Th2Bi6, optimized geometry
data_PrEr3Th2Bi6
_chemical_formula_sum 'Pr2 Er6 Th4 Bi12'
_symmetry_space_group_name_H-M 'C 1 2/m 1'
_symmetry_Int_Tables_number 12
_cell_length_a 19.7155
_cell_length_b 4.5385
_cell_length_c 9.0403
_cell_angle_alpha 90.00
_cell_angle_beta 102.95
_cell_angle_gamma 90.00
loop_
_symmetry_equiv_pos_as_xyz
'x,y,z'
'-x,-y,-z'
'-x,y,-z'
'x,-y,z'
'x+1/2,y+1/2,z'
'-x+1/2,-y+1/2,-z'
'-x+1/2,y+1/2,-z'
'x+1/2,-y+1/2,z'
loop_
_atom_site_label
_atom_site_type_symbol
_atom_site_fract_x
_atom_site_fract_y
_atom_site_fract_z
Pr1 Pr 0.0000 0.0000 0.0000
Er1 Er 0.0000 0.0000 0.5000
Er2 Er 0.1651 0.5000 0.8330
Th1 Th 0.1656 0.5000 0.3308
Bi1 Bi 0.0021 0.5000 0.7417
Bi2 Bi 0.1645 0.0000 0.5889
Bi3 Bi 0.1701 0.0000 0.0771
# Calculated density ... 9.94 g/cm3

Listing formation energy for the structures above in their given order: 66; -65; -1015; -674; -107; -694; -1004; -990; -1002; 205; -556; -876 kJ/mol of formula units.
Listing D(E_F) for the structures above in their given order: 0.69; 0.64; 0.17; 0.15; 0.63; 0.15; 0.17; 0.17; 0.17; 0.62; 0.59; 0.41 states/eV per atom.
Listing magnetic moment for the structures above in their given order: 0.0; 0.0; 0.0; 0.0; 0.0; 0.0; 0.0; 0.0; 0.0; 0.0; 0.0; 0.0 μB per cell.